No. 1
The following is a DFT calculation (PBE) of a relaxed Tm2Zn15Co2 crystal.

Computed properties:
**Total magnetization**: 7.012 μB/cell
**DOS(E_F)**: 27.1 states/eV per cell
**Volume**: 15.4 A^3/atom
**Uncorrected energy**: -136.00 eV for the cell shown
**Calculated formation energy**: -0.1616 eV/atom

Cell lengths 8.8388, 8.8388, 12.9934 Å; angles 90.00, 90.00, 120.00 degrees
With the nearest neighbours (Å) after each atom.
Space group R-3m (No. 166, hexagonal axes)
Inequivalent atoms, fractional coordinates:
Tm1 0.0000 0.0000 0.1692 (multiplicity 6)  1 Co 3.08, 15 Zn 3.17-3.33
Zn1 0.0000 0.2868 0.5000 (multiplicity 18)  8 Zn 2.53-2.73, 2 Co 2.81
Zn2 0.0000 0.5000 0.0000 (multiplicity 9)  8 Zn 2.53-2.57, 2 Co 2.72
Zn3 0.0022 0.5011 0.6493 (multiplicity 18)  8 Zn 2.57-2.73, 1 Co 2.82
Co1 0.0000 0.0000 0.4064 (multiplicity 6)  1 Co 2.43, 3 Zn 2.72

=====

No. 2
The following is a DFT calculation (PBE) of a relaxed CaEr5Te6 crystal.

Computed properties:
**Total magnetization**: 0.000 μB/cell
**DOS(E_F)**: 11.4 states/eV per cell
**Volume**: 29.0 A^3/atom
**ΔE_f (raw)**: -1276 meV/atom
**Uncorrected energy**: -117.96 eV for the cell shown

Cell lengths 7.4880, 13.0120, 7.5596 Å; angles 90.00, 109.38, 90.00 degrees
With the nearest neighbours (Å) after each atom.
Space group C2/m (No. 12)
Inequivalent atoms, fractional coordinates:
Ca1 0.0000 0.0000 0.0000 (multiplicity 2)  6 Te 3.08-3.11
Er1 0.0000 0.1625 0.5000 (multiplicity 4)  6 Te 3.06-3.07
Er2 0.0000 0.3316 0.0000 (multiplicity 4)  6 Te 3.06-3.08
Er3 0.0000 0.5000 0.5000 (multiplicity 2)  6 Te 3.06
Te1 0.2451 0.5000 0.2469 (multiplicity 4)  5 Er 3.06, 1 Ca 3.08
Te2 0.2465 0.3317 0.7457 (multiplicity 8)  5 Er 3.06-3.08, 1 Ca 3.11

=====

No. 3
The following is a DFT calculation (PBE) of a relaxed PmSbTe crystal.

Computed properties:
**Total magnetization**: 0.000 μB/cell
**DOS(E_F)**: 6.0 states/eV per cell
**Volume**: 29.9 A^3/atom
**Polymorph energy (0 for the lowest one)**: 25 meV per atom
**ΔE_f (raw)**: -1136 meV/atom
**Uncorrected energy**: -61.69 eV for the cell shown

Cell lengths 4.3368, 4.3368, 19.0788 Å; angles 90.00, 90.00, 90.00 degrees
With the nearest neighbours (Å) after each atom.
Space group I4/mmm (No. 139)
Inequivalent atoms, fractional coordinates:
Pm1 0.0000 0.0000 0.1382 (multiplicity 4)  5 Te 3.21-3.30, 4 Sb 3.41
Sb1 0.0000 0.5000 0.0000 (multiplicity 4)  4 Sb 3.07, 4 Pm 3.41
Te1 0.0000 0.0000 0.3114 (multiplicity 4)  5 Pm 3.21-3.30

=====

No. 4
The following is a DFT calculation (PBE) of a relaxed Tb2LuSb crystal.

Computed properties:
**Total magnetization**: 0.007 μB/cell
**DOS(E_F)**: 4.9 states/eV per cell
**Volume**: 27.0 A^3/atom
**Polymorph energy (0 for the lowest one)**: 39 meV per atom
**ΔE_f (raw)**: -463 meV/atom
**Uncorrected energy**: -19.76 eV for the cell shown

Cell lengths 4.7535, 4.7535, 4.7840 Å; angles 90.00, 90.00, 90.00 degrees
With the nearest neighbours (Å) after each atom.
Space group P4/mmm (No. 123)
Inequivalent atoms, fractional coordinates:
Tb1 0.0000 0.5000 0.0000 (multiplicity 2)  4 Tb 3.36, 4 Sb 3.37, 4 Lu 3.37
Lu1 0.0000 0.0000 0.5000 (multiplicity 1)  4 Sb 3.36, 8 Tb 3.37
Sb1 0.5000 0.5000 0.5000 (multiplicity 1)  4 Lu 3.36, 8 Tb 3.37

=====

No. 5
The following is a DFT calculation (PBE) of a relaxed Pr9Nd2Ho crystal.

Computed properties:
**Total magnetization**: 0.000 μB/cell
**DOS(E_F)**: 20.6 states/eV per cell
**Volume**: 35.6 A^3/atom
**Uncorrected energy**: -56.97 eV for the cell shown
**Calculated formation energy**: 0.0132 eV/atom

Cell lengths 5.2214, 5.2214, 15.6601 Å; angles 90.00, 90.00, 90.00 degrees
With the nearest neighbours (Å) after each atom.
Space group P4/mmm (No. 123)
Inequivalent atoms, fractional coordinates:
Pr1 0.0000 0.0000 0.0000 (multiplicity 1)  8 Pr 3.67, 4 Ho 3.69
Pr2 0.0000 0.0000 0.3321 (multiplicity 2)  4 Nd 3.69, 8 Pr 3.70-3.71
Pr3 0.0000 0.5000 0.1646 (multiplicity 4)  2 Ho 3.67, 8 Pr 3.67-3.70, 2 Nd 3.70
Pr4 0.0000 0.5000 0.5000 (multiplicity 2)  8 Pr 3.69-3.71, 4 Nd 3.71
Nd1 0.5000 0.5000 0.3320 (multiplicity 2)  12 Pr 3.69-3.71
Ho1 0.5000 0.5000 0.0000 (multiplicity 1)  12 Pr 3.67-3.69